This record from the Alexandria database describes an optimized crystal structure of Na2CoHgF8. The functional is PBE+U.

Calculated volume = 175.7 Å³ per cell
Total DFT energy (no corrections) = -0.2875 Ry per atom

a b c (Å): 4.9421 7.1976 4.9429
angles (deg): 90.00 92.40 90.00
Last column: nearest neighbours and their distance in Å.
Sites, in units of the cell vectors:
Na (0.0000, 0.2374, 0.0000)  6 F 2.32-2.36
Na (0.0000, 0.7626, 0.0000)  6 F 2.32-2.36
Co (0.5000, 0.0000, 0.5000)  6 F 1.80-1.82
Hg (0.5000, 0.5000, 0.5000)  2 F 2.07
F (0.1961, 0.5000, 0.1988)  1 Hg 2.07
F (0.2370, 0.0000, 0.2382)  1 Co 1.80
F (0.3239, 0.1828, 0.6776)  1 Co 1.82
F (0.3239, 0.8172, 0.6776)  1 Co 1.82
F (0.6761, 0.1828, 0.3224)  1 Co 1.82
F (0.6761, 0.8172, 0.3224)  1 Co 1.82
F (0.7630, 0.0000, 0.7618)  1 Co 1.80
F (0.8039, 0.5000, 0.8012)  1 Hg 2.07